First-principles (GGA+U) data for TaNiSeO2 after structural relaxation, as listed in Alexandria via LeMat-Bulk. Values from VASP.

Output
- E (eV/atom) = -4.833

Structure (Quantum ESPRESSO input):
```
&SYSTEM
  ibrav = 0, nat = 5, ntyp = 4
/
ATOMIC_SPECIES
Ta 180.95 Ta.upf
Ni 58.69 Ni.upf
Se 78.96 Se.upf
O 16.00 O.upf
ATOMIC_POSITIONS crystal
Ta 0.000 0.000 0.000
Ni 0.500 0.500 0.000
Se 0.500 0.500 0.500
O 0.000 0.500 0.500
O 0.500 0.000 0.500
CELL_PARAMETERS angstrom
3.886 0.000 0.000
0.000 3.886 0.000
0.000 0.000 4.470
```